# 1
A geometry-optimized Sm6Dy3Ho2Er structure. Source: the Alexandria database, functional PBE.

a b c (Å): 6.206 6.206 11.801
angles (deg): 95.01 95.01 119.98
Fractional coordinates of all 12 atoms:
Sm (0.083, 0.417, 0.751)
Sm (0.250, 0.250, 0.249)
Sm (0.417, 0.083, 0.751)
Sm (0.583, 0.917, 0.249)
Sm (0.750, 0.750, 0.751)
Sm (0.917, 0.583, 0.249)
Dy (0.000, 0.000, 0.500)
Dy (0.333, 0.667, 0.500)
Dy (0.667, 0.333, 0.500)
Ho (0.167, 0.833, 0.000)
Ho (0.833, 0.167, 0.000)
Er (0.500, 0.500, 0.000)

## Properties
Space-group type: C2/m, No. 12
Calculated total energy, eV per cell: -55.67
Energy relative to the elements, eV per atom: 0.0140

***

# 2
A geometry-optimized ScPtSCl2 structure. Source: the Alexandria database, functional PBE.

a b c (Å): 4.797 4.797 4.864
angles (deg): 90.00 90.00 90.00
Fractional coordinates of all 5 atoms:
Sc (0.000, 0.000, 0.000)
Pt (0.500, 0.500, 0.500)
S (0.500, 0.500, 0.000)
Cl (0.000, 0.500, 0.500)
Cl (0.500, 0.000, 0.500)

## Properties
Energy above the lowest structure with this stoichiometry, meV per atom: 168
Space-group type: P4/mmm, No. 123
Calculated total energy, eV per cell: -21.40
Energy relative to the elements, uncorrected, eV per atom: -0.2408